An optimized crystal structure of Ho6MgAl3. Source: Alexandria via LeMat-Bulk, functional PBE.

DOS(E_F) in states/eV/f.u.: 9.1
E in eV/atom: -4.2611
Energy of formation from the pure elements in eV/atom: -0.232
SG: P2_1/m (11)
Calculated volume in Å³ per atom: 25.4

Lattice parameters (Å, degrees): 5.137 9.199 11.289 107.81 90.00 90.00
Element x y z (fractional)
Ho1 0.250 0.266 0.501
Al1 0.250 0.774 0.974
Ho2 0.750 0.872 0.838
Al2 0.250 0.379 0.786
Ho3 0.750 0.347 0.320
Al3 0.750 0.462 0.619
Ho4 0.750 0.734 0.499
Mg1 0.750 0.040 0.410
Ho5 0.750 0.545 0.914
Al4 0.750 0.226 0.026
Ho6 0.750 0.897 0.120
Al5 0.750 0.621 0.214
Ho7 0.250 0.823 0.290
Mg2 0.250 0.960 0.590
Ho8 0.250 0.455 0.086
Ho9 0.250 0.128 0.162
Al6 0.250 0.538 0.381
Ho10 0.250 0.653 0.680
Ho11 0.750 0.177 0.710
Ho12 0.250 0.103 0.880